# 1
Below is a relaxed structure of CaMoPd, with properties calculated at the PBE level.

POSCAR file:
```
CaMoPd
1.0
3.8234 0.0000 0.0000
0.0000 3.8234 0.0000
0.0000 0.0000 8.5874
Ca Mo Pd
2 2 2
Direct
0.2500 0.2500 0.1518
0.7500 0.7500 0.8482
0.2500 0.7500 0.5000
0.7500 0.2500 0.5000
0.2500 0.2500 0.7395
0.7500 0.7500 0.2605
```

## Properties
Calculated volume, Å³ per cell: 125.5
Distance to the lowest polymorph of the same formula, eV/atom: 0.098
Space group: P4/nmm, No. 129
Uncorrected energy, eV per atom: -6.010
Total magnetization, μB/cell: 0.00

***

# 2
Below is a relaxed structure of NdAl2Au, with properties calculated at the PBE level.

POSCAR file:
```
NdAl2Au
1.0
6.8905 0.0000 0.0000
0.0000 2.2913 5.3518
0.0000 -2.2913 5.3518
Nd Al Au
2 4 2
Direct
0.0000 0.0000 0.0000
0.5000 0.1840 0.1840
0.0000 0.2968 0.2968
0.3059 0.4788 0.4788
0.5000 0.8908 0.8908
0.6941 0.4788 0.4788
0.2029 0.7191 0.7191
0.7971 0.7191 0.7191
```

## Properties
Calculated volume, Å³ per cell: 169.0
Space group: Amm2, No. 38
Uncorrected energy, eV per atom: -4.450
Total magnetization, μB/cell: 0.00

***

# 3
Below is a relaxed structure of CrAsAu3, with properties calculated at the PBE level.

POSCAR file:
```
CrAsAu3
1.0
4.8966 0.0000 0.0000
0.0000 4.8966 0.0000
0.0000 0.0000 4.8966
Cr As Au
1 1 3
Direct
0.0000 0.0000 0.0000
0.5000 0.5000 0.5000
0.0000 0.5000 0.5000
0.5000 0.0000 0.5000
0.5000 0.5000 0.0000
```

## Properties
Calculated volume, Å³ per cell: 117.4
Distance to the lowest polymorph of the same formula, eV/atom: 0.000
Space group: Pm-3m, No. 221
Uncorrected energy, eV per atom: -4.203
Total magnetization, μB/cell: 4.76